VASP calculation (PBE) on a relaxed SrLaSn2Pd4 crystal.

Summary:
- ρ (g/cm3) = 7.98
- calculated volume (A^3/atom) = 23.1
- electronic total energy (Ha/atom) = -0.1909
- size of the total moment (μB/cell) = 0.01

Cell lengths 4.643, 4.643, 9.915 Å; angles 90.00, 90.00, 120.00 degrees
Sites, in units of the cell vectors:
Sr1 0.000 0.000 0.000
La1 0.333 0.667 0.500
Sn1 0.667 0.333 0.255
Sn2 0.667 0.333 0.745
Pd1 0.000 0.000 0.325
Pd2 0.000 0.000 0.675
Pd3 0.333 0.667 0.196
Pd4 0.333 0.667 0.804